Compound: BAuI2O
Source: the Alexandria database
Functional: GGA-PBE
Structure: relaxed

Properties
Relative energy among the computed polymorphs: 1.015 eV/atom
Symmetry: No. 123
Total magnetization: 0.75 μB/f.u.

```
BAuI2O
1.0
-1.237 5.602 0.255
-2.427 -0.771 5.147
3.510 0.695 1.759
Au B I O
1 1 2 1
Direct
0.000 0.000 0.000
0.500 0.500 0.500
0.500 0.000 0.000
0.000 0.500 0.000
0.000 0.000 0.500
```